1.
Material: Y4TmTl5
Method: DFT, GGA-PBE
State: relaxed

## Properties
Calculated total energy, eV/atom: -4.576
Energy of formation from the pure elements, eV/atom: -0.3596
Theoretical density, Mg/m³: 9.4

Lattice parameters (Å, degrees): 3.7526 3.7526 19.3593 90.00 90.00 90.00
Space group P4/mmm (No. 123)
One atom of each set of equivalent atoms:
Y 0.0000 0.0000 0.1008
Y 0.0000 0.0000 0.3023
Tm 0.0000 0.0000 0.5000
Tl 0.5000 0.5000 0.0000
Tl 0.5000 0.5000 0.2018
Tl 0.5000 0.5000 0.4031

2.
Material: ScZnIr2Au
Method: DFT, GGA-PBE
State: relaxed

## Properties
Calculated total energy, eV/atom: -4.489
Energy of formation from the pure elements, eV/atom: 1.2318
Theoretical density, Mg/m³: 9.7

Lattice parameters (Å, degrees): 4.9620 4.9620 4.7957 90.00 90.00 90.00
Space group P4/mmm (No. 123)
One atom of each set of equivalent atoms:
Sc 0.0000 0.0000 0.0000
Zn 0.5000 0.5000 0.0000
Ir 0.0000 0.5000 0.5000
Au 0.0000 0.0000 0.5000

3.
Material: KSrAl2
Method: DFT, GGA-PBE
State: relaxed

## Properties
Calculated total energy, eV/atom: -2.461
Energy above the most stable polymorph in this dataset, meV per atom: 23
Energy of formation from the pure elements, eV/atom: 0.1047
Theoretical density, Mg/m³: 1.7

Lattice parameters (Å, degrees): 11.8416 4.5718 8.4047 90.00 129.26 90.00
Space group C2/m (No. 12)
One atom of each set of equivalent atoms:
K 0.0000 0.0000 0.0000
Sr 0.0000 0.5000 0.5000
Al 0.2297 0.0000 0.5476

4.
Material: HgRhW2
Method: DFT, GGA-PBE
State: relaxed

## Properties
Calculated total energy, eV/atom: -7.981
Energy of formation from the pure elements, eV/atom: 0.4088
Theoretical density, Mg/m³: 16.7

Lattice parameters (Å, degrees): 2.8438 2.8438 28.5217 90.00 90.00 120.00
Space group R-3m (No. 166, hexagonal axes)
One atom of each set of equivalent atoms:
Hg 0.0000 0.0000 0.0000
Rh 0.0000 0.0000 0.5000
W 0.0000 0.0000 0.2442

5.
Material: KTlSb2
Method: DFT, GGA-PBE
State: relaxed

## Properties
Calculated total energy, eV/atom: -3.083
Energy above the most stable polymorph in this dataset, meV per atom: 53
Formation energy (no corrections), eV/atom: -0.156
Theoretical density, Mg/m³: 6.0

Lattice parameters (Å, degrees): 4.1957 4.1957 7.7189 90.00 90.00 90.00
Space group P4mm (No. 99)
One atom of each set of equivalent atoms:
K 0.0000 0.0000 0.0000
Tl 0.5000 0.5000 0.7030
Sb 0.0000 0.0000 0.4588
Sb 0.5000 0.5000 0.3145

6.
Material: KNiAs2
Method: DFT, GGA-PBE
State: relaxed

## Properties
Calculated total energy, eV/atom: -3.638
Energy above the most stable polymorph in this dataset, meV per atom: 722
Energy of formation from the pure elements, eV/atom: 0.4069
Theoretical density, Mg/m³: 5.3

Lattice parameters (Å, degrees): 5.9226 9.2831 2.8263 90.00 90.00 90.00
Space group Cmmm (No. 65)
One atom of each set of equivalent atoms:
K 0.0000 0.0000 0.0000
Ni 0.0000 0.5000 0.0000
As 0.2500 0.2500 0.5000

7.
Material: TbIn2P2Pt7
Method: DFT, GGA-PBE
State: relaxed

## Properties
Calculated total energy, eV/atom: -5.919
Energy of formation from the pure elements, eV/atom: -0.6509
Theoretical density, Mg/m³: 12.8

Lattice parameters (Å, degrees): 5.5906 5.5919 15.3076 90.00 100.44 90.00
Space group C2/m (No. 12)
One atom of each set of equivalent atoms:
Tb 0.0000 0.0000 0.0000
In 0.2126 0.0000 0.4262
P 0.1171 0.5000 0.2358
Pt 0.0000 0.5000 0.0000
Pt 0.1763 0.2500 0.8519
Pt 0.1925 0.5000 0.3867

8.
Material: CsYb6
Method: DFT, GGA-PBE
State: relaxed

## Properties
Calculated total energy, eV/atom: -0.716
Energy of formation from the pure elements, eV/atom: 0.7141
Theoretical density, Mg/m³: 3.8

Lattice parameters (Å, degrees): 10.0637 10.0637 10.0637 90.00 90.00 90.00
Space group Im-3m (No. 229)
One atom of each set of equivalent atoms:
Cs 0.0000 0.0000 0.0000
Yb 0.0000 0.2500 0.5000

9.
Material: SrFe2Ni
Method: DFT, GGA-PBE
State: relaxed

## Properties
Calculated total energy, eV/atom: -5.356
Energy of formation from the pure elements, eV/atom: 0.7407
Theoretical density, Mg/m³: 6.3

Lattice parameters (Å, degrees): 3.8619 3.8619 4.5274 90.00 90.00 90.00
Space group P4/mmm (No. 123)
One atom of each set of equivalent atoms:
Sr 0.0000 0.0000 0.0000
Fe 0.0000 0.5000 0.5000
Ni 0.5000 0.5000 0.0000